Entry 1:
The following is a PBEsol calculation of a relaxed Ni2PdW crystal, from Alexandria via LeMat-Bulk.

Cell lengths 5.861, 5.861, 5.861 Å; angles 90.00, 90.00, 90.00 degrees
Space group Fm-3m (No. 225)
One atom of each set of equivalent atoms:
Ni 0.250 0.250 0.250 (multiplicity 8)
Pd 0.000 0.000 0.000 (multiplicity 4)
W 0.000 0.000 0.500 (multiplicity 4)

* ΔH_f (0 K): 0.045 eV per atom

Entry 2:
The following is a PBEsol calculation of a relaxed InReS2Cl crystal, from Alexandria via LeMat-Bulk.

Cell lengths 4.959, 4.959, 4.833 Å; angles 90.00, 90.00, 90.00 degrees
Space group P4/mmm (No. 123)
One atom of each set of equivalent atoms:
In 0.000 0.000 0.000 (multiplicity 1)
Re 0.500 0.500 0.500 (multiplicity 1)
S 0.000 0.500 0.000 (multiplicity 2)
Cl 0.000 0.000 0.500 (multiplicity 1)

* offset from the most stable computed form: 1.2416 eV/atom
* uncorrected formation energy: 1160 meV/atom

Entry 3:
The following is a PBEsol calculation of a relaxed Ni3Bi2Se2 crystal, from Alexandria via LeMat-Bulk.

Cell lengths 11.042, 8.092, 8.012 Å; angles 90.00, 133.27, 90.00 degrees
Space group C2/m (No. 12)
One atom of each set of equivalent atoms:
Ni 0.000 0.231 0.000 (multiplicity 4)
Ni 0.014 0.500 0.282 (multiplicity 4)
Ni 0.250 0.250 0.000 (multiplicity 4)
Bi 0.221 0.500 0.205 (multiplicity 4)
Bi 0.249 0.000 0.244 (multiplicity 4)
Se 0.028 0.218 0.311 (multiplicity 8)

* uncorrected formation energy: -262 meV/atom

Entry 4:
The following is a PBEsol calculation of a relaxed BeRuW2 crystal, from Alexandria via LeMat-Bulk.

Cell lengths 3.125, 4.160, 4.192 Å; angles 90.00, 90.00, 90.00 degrees
Space group Pmmm (No. 47)
One atom of each set of equivalent atoms:
Be 0.000 0.000 0.000 (multiplicity 1)
Ru 0.500 0.500 0.000 (multiplicity 1)
W 0.000 0.500 0.500 (multiplicity 1)
W 0.500 0.000 0.500 (multiplicity 1)

* offset from the most stable computed form: 0.0000 eV/atom
* ΔH_f (0 K): 0.176 eV per atom

Entry 5:
The following is a PBEsol calculation of a relaxed Sb2TeSe crystal, from Alexandria via LeMat-Bulk.

Cell lengths 7.812, 4.558, 6.676 Å; angles 90.00, 113.44, 90.00 degrees
Space group C2/m (No. 12)
One atom of each set of equivalent atoms:
Sb 0.241 0.000 0.224 (multiplicity 4)
Te 0.000 0.000 0.500 (multiplicity 2)
Se 0.000 0.500 0.000 (multiplicity 2)

* uncorrected formation energy: -44 meV/atom

Entry 6:
The following is a PBEsol calculation of a relaxed MgTcHg2 crystal, from Alexandria via LeMat-Bulk.

Cell lengths 2.918, 4.227, 5.861 Å; angles 90.00, 90.00, 90.00 degrees
Space group Pmm2 (No. 25)
One atom of each set of equivalent atoms:
Mg 0.000 0.000 0.000 (multiplicity 1)
Tc 0.500 0.500 0.235 (multiplicity 1)
Hg 0.000 0.000 0.462 (multiplicity 1)
Hg 0.500 0.500 0.748 (multiplicity 1)

* ΔH_f (0 K): 0.298 eV per atom

Entry 7:
The following is a PBEsol calculation of a relaxed BeRu crystal, from Alexandria via LeMat-Bulk.

Cell lengths 4.445, 4.445, 4.445 Å; angles 90.00, 90.00, 90.00 degrees
Space group Fm-3m (No. 225)
One atom of each set of equivalent atoms:
Be 0.000 0.000 0.000 (multiplicity 4)
Ru 0.000 0.000 0.500 (multiplicity 4)

* ΔH_f (0 K): 0.265 eV per atom

Entry 8:
The following is a PBEsol calculation of a relaxed KTaAs2 crystal, from Alexandria via LeMat-Bulk.

Cell lengths 5.340, 5.340, 2.870 Å; angles 90.00, 90.00, 90.00 degrees
Space group P4/mmm (No. 123)
One atom of each set of equivalent atoms:
K 0.000 0.000 0.000 (multiplicity 1)
Ta 0.500 0.500 0.500 (multiplicity 1)
As 0.000 0.500 0.500 (multiplicity 2)

* offset from the most stable computed form: 0.3904 eV/atom
* ΔH_f (0 K): 0.125 eV per atom

Entry 9:
The following is a PBEsol calculation of a relaxed RbBa2Ag2 crystal, from Alexandria via LeMat-Bulk.

Cell lengths 9.103, 9.103, 4.613 Å; angles 90.00, 90.00, 90.00 degrees
Space group P4/mbm (No. 127)
One atom of each set of equivalent atoms:
Rb 0.000 0.000 0.000 (multiplicity 2)
Ba 0.163 0.337 0.500 (multiplicity 4)
Ag 0.114 0.614 0.000 (multiplicity 4)

* offset from the most stable computed form: 0.0000 eV/atom
* ΔH_f (0 K): -0.075 eV per atom

Entry 10:
The following is a PBEsol calculation of a relaxed CaSiC3 crystal, from Alexandria via LeMat-Bulk.

Cell lengths 3.810, 3.810, 3.810 Å; angles 90.00, 90.00, 90.00 degrees
Space group Pm-3m (No. 221)
One atom of each set of equivalent atoms:
Ca 0.000 0.000 0.000 (multiplicity 1)
Si 0.500 0.500 0.500 (multiplicity 1)
C 0.000 0.500 0.500 (multiplicity 3)

* offset from the most stable computed form: 0.0000 eV/atom
* uncorrected formation energy: 1199 meV/atom

Entry 11:
The following is a PBEsol calculation of a relaxed CoSb3O crystal, from Alexandria via LeMat-Bulk.

Cell lengths 4.590, 4.590, 4.590 Å; angles 90.00, 90.00, 90.00 degrees
Space group Pm-3m (No. 221)
One atom of each set of equivalent atoms:
Co 0.000 0.000 0.000 (multiplicity 1)
Sb 0.000 0.500 0.500 (multiplicity 3)
O 0.500 0.500 0.500 (multiplicity 1)

* offset from the most stable computed form: 0.0000 eV/atom
* uncorrected formation energy: 319 meV/atom

Entry 12:
The following is a PBEsol calculation of a relaxed Ba2LiB5O10 crystal, from Alexandria via LeMat-Bulk.

Cell lengths 4.422, 14.587, 6.669 Å; angles 90.00, 104.01, 90.00 degrees
Space group P2_1/m (No. 11)
One atom of each set of equivalent atoms:
Ba 0.167 0.088 0.304 (multiplicity 4)
Li 0.491 0.750 0.976 (multiplicity 2)
B 0.061 0.664 0.176 (multiplicity 4)
B 0.273 0.750 0.503 (multiplicity 2)
B 0.451 0.079 0.822 (multiplicity 4)
O 0.124 0.750 0.082 (multiplicity 2)
O 0.168 0.667 0.404 (multiplicity 4)
O 0.222 0.586 0.101 (multiplicity 4)
O 0.279 0.145 0.895 (multiplicity 4)
O 0.329 0.012 0.689 (multiplicity 4)
O 0.466 0.750 0.693 (multiplicity 2)

* uncorrected formation energy: -2670 meV/atom

Respective E_tot values: -7.98; -4.26; -5.23; -10.27; -4.17; -3.23; -6.82; -5.85; -2.46; -6.16; -5.01; -7.88 eV per atom.
Respective calculated density values: 13.45; 5.60; 9.58; 14.56; 6.85; 12.02; 8.33; 7.50; 5.00; 3.13; 7.56; 3.94 g/cm³.